No. 1
7
Lattice="-0.981 -4.587 -0.194 2.964 -3.336 7.426 -4.964 -3.994 6.125" Properties=species:S:1:pos:R:3 comment="Na2HgI2Br2 | Alexandria | PBE | relaxed" raw_formation_energy_ev_per_atom=-0.923 m_tot_mub_per_atom=0.000 pbc="T T T"
Br -3.497 -9.319 11.260
Br 0.516 -2.598 2.098
Na 0.247 -2.654 4.995
Na -3.228 -9.262 8.363
I -0.463 -7.443 8.234
I -2.518 -4.474 5.123
Hg 0.000 0.000 0.000

=====

No. 2
16
Lattice="6.942 0.000 0.000 0.000 9.779 0.000 0.000 0.000 8.820" Properties=species:S:1:pos:R:3 comment="Hg4I2BrO | Alexandria | PBE | relaxed" raw_formation_energy_ev_per_atom=-0.129 m_tot_mub_per_atom=0.000 pbc="T T T"
Hg 6.412 2.983 7.331
Hg 5.725 8.594 4.410
Hg 2.941 6.797 5.898
Hg 6.449 8.662 0.000
Hg 2.254 1.185 0.000
Hg 6.412 2.983 1.488
Hg 2.941 6.797 2.921
Hg 2.978 1.118 4.410
I 3.088 2.996 2.186
I 6.559 6.783 2.223
I 6.559 6.783 6.596
I 3.088 2.996 6.633
O 0.068 0.921 0.000
O 3.539 8.858 4.410
Br 3.466 8.568 0.000
Br 6.937 1.211 4.410

=====

No. 3
5
Lattice="4.071 0.000 0.000 0.000 4.071 0.000 0.000 0.000 7.571" Properties=species:S:1:pos:R:3 comment="HgIBrO2 | Alexandria | PBE | relaxed" raw_formation_energy_ev_per_atom=0.460 m_tot_mub_per_atom=0.028 relative_energy_mev_per_atom=0 pbc="T T T"
Hg 2.035 2.035 3.786
O 0.000 2.035 0.000
O 2.035 0.000 0.000
Br 0.000 0.000 0.000
I 0.000 0.000 3.786

=====

No. 4
16
Lattice="6.953 0.000 0.000 0.000 8.536 0.000 0.000 0.000 9.092" Properties=species:S:1:pos:R:3 comment="Hg4IBr2O | Alexandria | PBE | relaxed" raw_formation_energy_ev_per_atom=-0.166 m_tot_mub_per_atom=0.000 pbc="T T T"
O 6.760 1.104 0.000
O 3.284 7.432 4.546
Hg 5.570 7.921 0.000
Hg 6.549 3.328 1.467
Hg 3.072 5.208 3.079
Hg 2.094 0.615 4.546
Hg 6.549 3.328 7.625
Hg 1.921 1.057 0.000
Hg 3.072 5.208 6.013
Hg 5.398 7.479 4.546
I 0.153 2.527 4.546
I 3.629 6.009 0.000
Br 0.154 6.989 2.556
Br 3.630 1.547 7.102
Br 3.630 1.547 1.990
Br 0.154 6.989 6.536

=====

No. 5
5
Lattice="4.229 0.000 0.000 0.000 4.229 0.000 0.000 0.000 7.788" Properties=species:S:1:pos:R:3 comment="HgIBrO2 | Alexandria | PBE | relaxed" raw_formation_energy_ev_per_atom=0.484 m_tot_mub_per_atom=0.255 relative_energy_mev_per_atom=24 pbc="T T T"
Hg 0.000 0.000 0.000
O 2.115 0.000 0.000
O 0.000 2.115 0.000
Br 2.115 2.115 3.894
I 0.000 0.000 3.894

=====

No. 6
5
Lattice="5.884 0.000 0.000 0.000 5.876 0.000 0.000 0.000 5.884" Properties=species:S:1:pos:R:3 comment="HgOsI2Br | Alexandria | PBE | relaxed" raw_formation_energy_ev_per_atom=1.626 m_tot_mub_per_atom=0.894 pbc="T T T"
I 0.000 0.000 2.942
I 2.942 0.000 0.000
Os 2.942 2.938 2.942
Br 0.000 0.000 0.000
Hg 0.000 2.938 0.000

=====

No. 7
9
Lattice="-2.928 2.900 -2.693 -6.648 -5.290 -3.198 -7.957 0.398 4.351" Properties=species:S:1:pos:R:3 comment="Hg2PI4Br2 | Alexandria | PBE | relaxed" raw_formation_energy_ev_per_atom=-0.053 m_tot_mub_per_atom=0.000 pbc="T T T"
I -10.270 -2.730 -3.175
I -6.514 -2.517 -2.684
I -7.263 0.738 1.635
I -11.019 0.524 1.145
Hg -5.083 2.105 -2.467
Hg -12.451 -4.097 0.928
Br -10.037 -3.255 0.712
Br -7.497 1.263 -2.251
P -1.464 1.450 -1.346

=====

No. 8
16
Lattice="-6.584 -0.457 -3.706 4.044 -1.369 -7.016 -0.304 -9.961 1.768" Properties=species:S:1:pos:R:3 comment="Hg4PI2Br | Alexandria | PBE | relaxed" raw_formation_energy_ev_per_atom=-0.068 m_tot_mub_per_atom=0.000 pbc="T T T"
Hg -1.179 -0.381 -2.351
Hg -0.007 -3.628 -6.236
Hg -5.245 -8.230 -4.093
Hg -0.162 -8.704 -5.335
Hg -2.751 -5.257 -1.122
Hg -2.320 -1.714 -10.056
Hg -2.048 -6.462 -7.788
Hg -5.096 -3.345 -4.960
I -3.567 -3.558 -8.133
I -2.079 -7.752 -2.530
I -1.947 -3.443 -3.294
I -3.740 -9.211 -7.130
Br 0.063 -5.089 0.308
Br 0.360 -1.500 -8.393
P -5.401 -0.778 -5.315
P -0.197 -6.229 -6.159

=====

No. 9
11
Lattice="8.939 1.006 1.667 5.115 6.879 -0.865 0.911 -5.199 9.073" Properties=species:S:1:pos:R:3 comment="Hg6P2I2Br | Alexandria | PBE | relaxed" raw_formation_energy_ev_per_atom=-0.070 m_tot_mub_per_atom=0.000 pbc="T T T"
Hg 7.542 -0.869 6.714
Hg 0.676 -1.308 2.910
Hg 12.807 0.982 9.009
Hg 7.423 3.554 3.161
Hg 2.158 1.704 0.866
Hg 14.289 3.994 6.965
P 5.959 1.241 7.216
P 9.006 1.445 2.659
I 4.660 2.674 0.465
I 10.305 0.012 9.410
Br 4.925 -2.097 5.370

=====

No. 10
16
Lattice="9.339 -1.212 0.017 -1.218 9.338 0.017 -4.090 -4.093 5.721" Properties=species:S:1:pos:R:3 comment="Hg4PIBr2 | Alexandria | PBE | relaxed" raw_formation_energy_ev_per_atom=-0.079 m_tot_mub_per_atom=0.000 pbc="T T T"
Br -2.045 -2.046 2.860
Br 4.670 -0.606 0.009
Br 4.060 4.063 0.017
Br 2.625 -2.652 2.869
I 6.685 1.411 2.886
I -0.609 4.669 0.009
Hg 3.328 -3.466 5.684
Hg 3.855 0.097 2.824
Hg 1.914 1.954 0.146
Hg 3.968 3.932 3.023
Hg 0.063 0.102 2.732
Hg 2.117 2.080 5.610
Hg 0.703 7.500 0.071
Hg 0.176 3.936 2.932
P 2.015 2.017 2.878
P 5.249 -5.304 5.738

=====

No. 11
5
Lattice="-0.023 -6.103 -0.117 4.410 0.033 -2.615 3.114 -0.112 5.250" Properties=species:S:1:pos:R:3 comment="Hg2PIBr | Alexandria | PBE | relaxed" raw_formation_energy_ev_per_atom=0.686 m_tot_mub_per_atom=0.000 pbc="T T T"
Br 3.750 -3.091 1.259
Hg -0.012 -3.052 -0.058
Hg 1.557 -0.056 2.625
P 2.205 0.017 -1.307
I 0.000 0.000 0.000

=====

No. 12
20
Lattice="8.712 0.000 0.856 0.000 7.457 0.000 1.374 0.000 10.755" Properties=species:S:1:pos:R:3 comment="Hg6PdIBr2 | Alexandria | PBE | relaxed" raw_formation_energy_ev_per_atom=-0.168 m_tot_mub_per_atom=0.000 pbc="T T T"
Br 6.376 3.822 9.096
Br 1.333 7.363 3.291
Br 3.710 3.634 2.515
Br 8.753 0.094 8.320
I 0.687 3.728 5.377
I 4.356 0.000 0.428
Hg 7.301 5.992 5.783
Hg 3.632 5.193 10.733
Hg 2.786 1.465 5.827
Hg 5.385 1.064 3.392
Hg 4.701 6.392 8.218
Hg 1.032 1.802 1.432
Hg 8.370 4.793 3.269
Hg 6.455 2.263 0.878
Hg 1.716 2.664 8.342
Hg 4.012 5.531 4.373
Hg 9.055 5.654 10.179
Hg 6.075 1.926 7.237
Pd 5.043 0.000 5.805
Pd 0.000 3.728 0.000